Record 1
# HgTeRh | the Alexandria database | PBE | relaxed
data_HgTeRh
_chemical_formula_sum 'Hg4 Te4 Rh4'
_space_group_name_H-M_alt 'C 1 2/m 1'
_space_group_IT_number 12
_cell_length_a 14.755
_cell_length_b 4.068
_cell_length_c 5.309
_cell_angle_alpha 90.00
_cell_angle_beta 107.35
_cell_angle_gamma 90.00
loop_
_space_group_symop_operation_xyz
'x,y,z'
'-x,-y,-z'
'-x,y,-z'
'x,-y,z'
'x+1/2,y+1/2,z'
'-x+1/2,-y+1/2,-z'
'-x+1/2,y+1/2,-z'
'x+1/2,-y+1/2,z'
loop_
_atom_site_label
_atom_site_fract_x
_atom_site_fract_y
_atom_site_fract_z
Hg1 0.092 0.000 0.001
Te1 0.163 0.500 0.566
Rh1 0.242 0.500 0.176
# **Energy relative to the elements, uncorrected**: -3.04 kcal/mol of atoms
# **Energy relative to the lowest polymorph listed for this composition**: 0.0 meV per atom

---

Record 2
# PmTm2NbN4 | the Alexandria database | PBE | relaxed
data_PmTm2NbN4
_chemical_formula_sum 'Pm4 Tm8 Nb4 N16'
_space_group_name_H-M_alt 'C m c m'
_space_group_IT_number 63
_space_group_name_Hall '-C 2c 2'
_cell_length_a 3.377
_cell_length_b 11.814
_cell_length_c 11.991
_cell_angle_alpha 90.00
_cell_angle_beta 90.00
_cell_angle_gamma 90.00
loop_
_atom_site_label
_atom_site_fract_x
_atom_site_fract_y
_atom_site_fract_z
Pm1 0.000 0.104 0.250
Tm1 0.000 0.370 0.034
Nb1 0.000 0.157 0.750
N1 0.000 0.000 0.000
N2 0.000 0.259 0.619
N3 0.000 0.452 0.250
# **Energy relative to the elements, uncorrected**: -30.11 kcal/mol of atoms

---

Record 3
# Cu5SiAu6 | the Alexandria database | PBE | relaxed
data_Cu5SiAu6
_chemical_formula_sum 'Cu10 Si2 Au12'
_space_group_name_H-M_alt 'C 1 2/m 1'
_space_group_IT_number 12
_cell_length_a 7.900
_cell_length_b 12.822
_cell_length_c 4.279
_cell_angle_alpha 90.00
_cell_angle_beta 122.38
_cell_angle_gamma 90.00
loop_
_space_group_symop_operation_xyz
'x,y,z'
'-x,-y,-z'
'-x,y,-z'
'x,-y,z'
'x+1/2,y+1/2,z'
'-x+1/2,-y+1/2,-z'
'-x+1/2,y+1/2,-z'
'x+1/2,-y+1/2,z'
loop_
_atom_site_label
_atom_site_fract_x
_atom_site_fract_y
_atom_site_fract_z
Cu1 0.000 0.000 0.000
Cu2 0.000 0.164 0.500
Cu3 0.000 0.321 0.000
Si1 0.000 0.500 0.500
Au1 0.237 0.500 0.237
Au2 0.243 0.337 0.743
# **Energy relative to the elements, uncorrected**: -0.32 kcal/mol of atoms
# **Energy relative to the lowest polymorph listed for this composition**: 0.0 meV per atom

---

Record 4
# PaAlS4 | the Alexandria database | PBE | relaxed
data_PaAlS4
_chemical_formula_sum 'Pa4 Al4 S16'
_space_group_name_H-M_alt 'I 41/a m d'
_space_group_IT_number 141
_cell_length_a 8.565
_cell_length_b 8.565
_cell_length_c 7.873
_cell_angle_alpha 90.00
_cell_angle_beta 90.00
_cell_angle_gamma 90.00
loop_
_space_group_symop_operation_xyz
'x,y,z'
'-x,-y,-z'
'-y+1/4,x+3/4,z+1/4'
'y+1/4,-x+3/4,-z+1/4'
'-x+1/2,-y,z+1/2'
'x+1/2,y,-z+1/2'
'y+1/4,-x+1/4,z+3/4'
'-y+1/4,x+1/4,-z+3/4'
'x,-y,-z'
'-x,y,z'
'-y+1/4,-x+1/4,-z+3/4'
'y+1/4,x+1/4,z+3/4'
'-x+1/2,y,-z+1/2'
'x+1/2,-y,z+1/2'
'y+1/4,x+3/4,-z+1/4'
'-y+1/4,-x+3/4,z+1/4'
'x+1/2,y+1/2,z+1/2'
'-x+1/2,-y+1/2,-z+1/2'
'-y+3/4,x+1/4,z+3/4'
'y+3/4,-x+1/4,-z+3/4'
'-x,-y+1/2,z'
'x,y+1/2,-z'
'y+3/4,-x+3/4,z+1/4'
'-y+3/4,x+3/4,-z+1/4'
'x+1/2,-y+1/2,-z+1/2'
'-x+1/2,y+1/2,z+1/2'
'-y+3/4,-x+3/4,-z+1/4'
'y+3/4,x+3/4,z+1/4'
'-x,y+1/2,-z'
'x,-y+1/2,z'
'y+3/4,x+1/4,-z+3/4'
'-y+3/4,-x+1/4,z+3/4'
loop_
_atom_site_label
_atom_site_fract_x
_atom_site_fract_y
_atom_site_fract_z
Pa1 0.000 0.250 0.375
Al1 0.000 0.250 0.875
S1 0.000 0.065 0.674
# **Energy relative to the elements, uncorrected**: -29.44 kcal/mol of atoms
# **Energy relative to the lowest polymorph listed for this composition**: 0.0 meV per atom

---

Record 5
# LaHoHg4 | the Alexandria database | PBE | relaxed
data_LaHoHg4
_chemical_formula_sum 'La4 Ho4 Hg16'
_space_group_name_H-M_alt 'F -4 3 m'
_space_group_IT_number 216
_space_group_name_Hall 'F -4 2 3'
_cell_length_a 8.518
_cell_length_b 8.518
_cell_length_c 8.518
_cell_angle_alpha 90.00
_cell_angle_beta 90.00
_cell_angle_gamma 90.00
loop_
_atom_site_label
_atom_site_fract_x
_atom_site_fract_y
_atom_site_fract_z
La1 0.000 0.000 0.000
Ho1 0.250 0.250 0.750
Hg1 0.125 0.125 0.375
# **Energy relative to the lowest polymorph listed for this composition**: 151.1 meV per atom

---

Record 6
# YSb3Se2ClO8 | the Alexandria database | PBE | relaxed
data_YSb3Se2ClO8
_chemical_formula_sum 'Y2 Sb6 Se4 Cl2 O16'
_space_group_name_H-M_alt 'P m m n'
_space_group_IT_number 59
_cell_length_a 7.542
_cell_length_b 9.567
_cell_length_c 7.719
_cell_angle_alpha 90.00
_cell_angle_beta 90.00
_cell_angle_gamma 90.00
loop_
_space_group_symop_operation_xyz
'x,y,z'
'-x,-y,-z'
'-x+1/2,-y+1/2,z'
'x+1/2,y+1/2,-z'
'x+1/2,-y,-z'
'-x+1/2,y,z'
'-x,y+1/2,-z'
'x,-y+1/2,z'
loop_
_atom_site_label
_atom_site_fract_x
_atom_site_fract_y
_atom_site_fract_z
Y1 0.250 0.250 0.170
Sb1 0.000 0.000 0.500
Sb2 0.250 0.250 0.630
Se1 0.250 0.575 0.912
Cl1 0.250 0.750 0.420
O1 0.065 0.595 0.780
O2 0.250 0.103 0.399
O3 0.250 0.105 0.941
# **Energy relative to the elements, uncorrected**: -26.52 kcal/mol of atoms

---

Record 7
# Ac8AgPt2 | the Alexandria database | PBE | relaxed
data_Ac8AgPt2
_chemical_formula_sum 'Ac16 Ag2 Pt4'
_space_group_name_H-M_alt 'C 1 m 1'
_space_group_IT_number 8
_cell_length_a 9.174
_cell_length_b 14.353
_cell_length_c 6.534
_cell_angle_alpha 90.00
_cell_angle_beta 105.92
_cell_angle_gamma 90.00
loop_
_space_group_symop_operation_xyz
'x,y,z'
'x,-y,z'
'x+1/2,y+1/2,z'
'x+1/2,-y+1/2,z'
loop_
_atom_site_label
_atom_site_fract_x
_atom_site_fract_y
_atom_site_fract_z
Ac1 0.000 0.000 0.000
Ac2 0.086 0.370 0.783
Ac3 0.157 0.130 0.586
Ac4 0.253 0.500 0.387
Ac5 0.369 0.228 0.189
Ag1 0.378 0.000 0.341
Pt1 0.372 0.299 0.690
# **Total energy**: -4.70 eV/atom

---

Record 8
# AcSm4Mg | the Alexandria database | PBE | relaxed
data_AcSm4Mg
_chemical_formula_sum 'Ac1 Sm4 Mg1'
_space_group_name_H-M_alt 'P 4/m m m'
_space_group_IT_number 123
_space_group_name_Hall '-P 4 2'
_cell_length_a 3.769
_cell_length_b 3.769
_cell_length_c 14.331
_cell_angle_alpha 90.00
_cell_angle_beta 90.00
_cell_angle_gamma 90.00
loop_
_atom_site_label
_atom_site_fract_x
_atom_site_fract_y
_atom_site_fract_z
Ac1 0.000 0.000 0.000
Sm1 0.000 0.000 0.359
Sm2 0.500 0.500 0.189
Mg1 0.500 0.500 0.500
# **Total energy**: -4.10 eV/atom

---

Record 9
# BaAlP2S | the Alexandria database | PBE | relaxed
data_BaAlP2S
_chemical_formula_sum 'Ba1 Al1 P2 S1'
_space_group_name_H-M_alt 'P 4/m m m'
_space_group_IT_number 123
_space_group_name_Hall '-P 4 2'
_cell_length_a 6.086
_cell_length_b 6.086
_cell_length_c 5.797
_cell_angle_alpha 90.00
_cell_angle_beta 90.00
_cell_angle_gamma 90.00
loop_
_atom_site_label
_atom_site_fract_x
_atom_site_fract_y
_atom_site_fract_z
Ba1 0.000 0.000 0.000
Al1 0.500 0.500 0.500
P1 0.000 0.500 0.000
S1 0.000 0.000 0.500
# **Energy relative to the elements, uncorrected**: 25.74 kcal/mol of atoms
# **Energy relative to the lowest polymorph listed for this composition**: 1570.9 meV per atom

---

Record 10
# RbAl2Pt2 | the Alexandria database | PBE | relaxed
data_RbAl2Pt2
_chemical_formula_sum 'Rb2 Al4 Pt4'
_space_group_name_H-M_alt 'I 4/m m m'
_space_group_IT_number 139
_space_group_name_Hall '-I 4 2'
_cell_length_a 4.272
_cell_length_b 4.272
_cell_length_c 12.148
_cell_angle_alpha 90.00
_cell_angle_beta 90.00
_cell_angle_gamma 90.00
loop_
_atom_site_label
_atom_site_fract_x
_atom_site_fract_y
_atom_site_fract_z
Rb1 0.000 0.000 0.000
Al1 0.000 0.000 0.358
Pt1 0.000 0.500 0.250
# **Energy relative to the lowest polymorph listed for this composition**: 94.3 meV per atom

---

Record 11
# Nd2B3C4 | the Alexandria database | PBE | relaxed
data_Nd2B3C4
_chemical_formula_sum 'Nd8 B12 C16'
_space_group_name_H-M_alt 'C m c e'
_space_group_IT_number 64
_space_group_name_Hall '-C 2ac 2'
_cell_length_a 4.654
_cell_length_b 11.966
_cell_length_c 7.726
_cell_angle_alpha 90.00
_cell_angle_beta 90.00
_cell_angle_gamma 90.00
loop_
_atom_site_label
_atom_site_fract_x
_atom_site_fract_y
_atom_site_fract_z
Nd1 0.000 0.126 0.081
B1 0.000 0.000 0.500
B2 0.250 0.184 0.750
C1 0.000 0.248 0.332
C2 0.250 0.047 0.750
# **Total energy**: -6.79 eV/atom

---

Record 12
# TbGaPbAu | the Alexandria database | PBE | relaxed
data_TbGaPbAu
_chemical_formula_sum 'Tb4 Ga4 Pb4 Au4'
_space_group_name_H-M_alt 'F -4 3 m'
_space_group_IT_number 216
_space_group_name_Hall 'F -4 2 3'
_cell_length_a 7.224
_cell_length_b 7.224
_cell_length_c 7.224
_cell_angle_alpha 90.00
_cell_angle_beta 90.00
_cell_angle_gamma 90.00
loop_
_atom_site_label
_atom_site_fract_x
_atom_site_fract_y
_atom_site_fract_z
Tb1 0.000 0.000 0.000
Ga1 0.250 0.250 0.250
Pb1 0.000 0.000 0.500
Au1 0.250 0.250 0.750
# **Total energy**: -4.03 eV/atom

---

Copy entry 10 word for word.
# RbAl2Pt2 | the Alexandria database | PBE | relaxed
data_RbAl2Pt2
_chemical_formula_sum 'Rb2 Al4 Pt4'
_space_group_name_H-M_alt 'I 4/m m m'
_space_group_IT_number 139
_space_group_name_Hall '-I 4 2'
_cell_length_a 4.272
_cell_length_b 4.272
_cell_length_c 12.148
_cell_angle_alpha 90.00
_cell_angle_beta 90.00
_cell_angle_gamma 90.00
loop_
_atom_site_label
_atom_site_fract_x
_atom_site_fract_y
_atom_site_fract_z
Rb1 0.000 0.000 0.000
Al1 0.000 0.000 0.358
Pt1 0.000 0.500 0.250
# **Energy relative to the lowest polymorph listed for this composition**: 94.3 meV per atom

---

Q: Which formula does entry 8 have?
A: AcSm4Mg